Entry 1:
Material: LiLa2Cd6In
Method: DFT, PBE
State: relaxed

Cell lengths 6.890, 6.890, 12.991 Å; angles 74.62, 74.62, 60.00 degrees
Sites, in units of the cell vectors:
In 0.575 0.575 0.276
La 0.109 0.109 0.674
Cd 0.215 0.659 0.910
Cd 0.667 0.667 0.585
Cd 0.333 0.919 0.415
Cd 0.333 0.333 0.415
La 0.280 0.280 0.160
La 0.720 0.720 0.840
Li 0.000 0.000 0.000
In 0.425 0.425 0.724
Li 0.500 0.500 0.500
Cd 0.215 0.215 0.910
Cd 0.667 0.081 0.585
Cd 0.919 0.333 0.415
Cd 0.785 0.341 0.090
Cd 0.081 0.667 0.585
Cd 0.659 0.215 0.910
Cd 0.341 0.785 0.090
Cd 0.785 0.785 0.090
La 0.891 0.891 0.326

Summary:
Its symmetry is R-3m. The calculated volume is 508.5 Å³ per cell. For the formation energy from the elements, the calculation gives -0.199 eV/atom. The value obtained for the total magnetic moment is 0.00 μB/cell.

---

Entry 2:
Material: MoP2AuCl
Method: DFT, PBE
State: relaxed

Cell lengths 4.836, 4.836, 4.876 Å; angles 90.00, 90.00, 90.00 degrees
Each line ends with the local moment (μB).
Sites, in units of the cell vectors:
P 0.000 0.500 0.000  -0.28
Mo 0.500 0.500 0.500  3.42
P 0.500 0.000 0.000  -0.28
Cl 0.000 0.000 0.500  -0.01
Au 0.000 0.000 0.000  -0.06

Summary:
Its symmetry is P4/mmm. The calculated volume is 114.0 Å³ per cell. The value obtained for the total magnetic moment is 2.83 μB/cell. The value obtained for the uncorrected formation energy is 1296 meV per atom.

---

Entry 3:
Material: CaEu2P
Method: DFT, PBE
State: relaxed

Cell lengths 4.102, 4.102, 11.167 Å; angles 79.42, 79.42, 60.00 degrees
Each line ends with the local moment (μB).
Sites, in units of the cell vectors:
P 0.500 0.500 0.500  -0.10
Eu 0.883 0.883 0.351  6.84
Ca 0.000 0.000 0.000  0.03
Eu 0.117 0.117 0.649  6.84

Summary:
Its symmetry is R-3m. The calculated volume is 159.0 Å³ per cell. For the formation energy from the elements, the calculation gives -0.541 eV/atom. The value obtained for the total magnetic moment is 14.45 μB/cell.

---

Entry 4:
Material: FeRu3
Method: DFT, PBE
State: relaxed

Cell lengths 2.671, 5.012, 5.012 Å; angles 116.91, 100.23, 100.23 degrees
Each line ends with the local moment (μB).
Sites, in units of the cell vectors:
Fe 0.000 0.000 0.000  2.96
Ru 0.000 0.500 0.500  0.84
Ru 0.500 0.500 0.000  0.84
Ru 0.500 0.000 0.500  0.84

Summary:
Its symmetry is R-3m. The calculated volume is 56.3 Å³ per cell. For the formation energy from the elements, the calculation gives 0.445 eV/atom. The value obtained for the total magnetic moment is 5.54 μB/cell.

---

Entry 5:
Material: CaMgSb2
Method: DFT, PBE
State: relaxed

Cell lengths 5.630, 3.383, 5.632 Å; angles 89.98, 90.00, 90.00 degrees
Sites, in units of the cell vectors:
Sb 0.000 0.124 0.875
Mg 0.500 0.629 0.875
Ca 0.000 0.624 0.375
Sb 0.500 0.123 0.375

Summary:
Its symmetry is P4mm. The calculated volume is 107.3 Å³ per cell. The value obtained for the total magnetic moment is 0.00 μB/cell. The value obtained for the uncorrected formation energy is -466 meV per atom.

---

Entry 6:
Material: PRu2N
Method: DFT, PBE
State: relaxed

Cell lengths 4.008, 4.008, 4.008 Å; angles 60.00, 60.00, 60.00 degrees
Sites, in units of the cell vectors:
N 0.000 0.000 0.000
P 0.500 0.500 0.500
Ru 0.750 0.750 0.750
Ru 0.250 0.250 0.250

Summary:
Its symmetry is Fm-3m. The calculated volume is 45.5 Å³ per cell. The value obtained for the total magnetic moment is 0.00 μB/cell. The value obtained for the uncorrected formation energy is 456 meV per atom.

---

Entry 7:
Material: AcSn2Ge
Method: DFT, PBE
State: relaxed

Cell lengths 5.036, 4.705, 4.705 Å; angles 90.00, 90.00, 90.00 degrees
Sites, in units of the cell vectors:
Ac 0.500 0.500 0.500
Sn 0.000 0.000 0.500
Ge 0.500 0.000 0.000
Sn 0.000 0.500 0.000

Summary:
Its symmetry is P4/mmm. The calculated volume is 111.5 Å³ per cell. For the formation energy from the elements, the calculation gives -0.436 eV/atom. The value obtained for the total magnetic moment is 0.00 μB/cell.

---

Entry 8:
Material: BeTlAs2
Method: DFT, PBE
State: relaxed

Cell lengths 4.823, 4.823, 4.823 Å; angles 60.00, 60.00, 60.00 degrees
Sites, in units of the cell vectors:
As 0.000 0.000 0.000
Tl 0.750 0.750 0.750
As 0.250 0.250 0.250
Be 0.500 0.500 0.500

Summary:
Its symmetry is F-43m. The calculated volume is 79.3 Å³ per cell. For the formation energy from the elements, the calculation gives 0.674 eV/atom. The value obtained for the total magnetic moment is 0.00 μB/cell.

---

Entry 9:
Material: PmSmInPb
Method: DFT, PBE
State: relaxed

Cell lengths 5.492, 5.492, 5.492 Å; angles 60.00, 60.00, 60.00 degrees
Sites, in units of the cell vectors:
Pm 0.000 0.000 0.000
Sm 0.500 0.500 0.500
In 0.250 0.250 0.250
Pb 0.750 0.750 0.750

Summary:
Its symmetry is F-43m. The calculated volume is 117.1 Å³ per cell. For the formation energy from the elements, the calculation gives -0.453 eV/atom. The value obtained for the total magnetic moment is 0.00 μB/cell.

---

Entry 10:
Material: As2S3
Method: DFT, PBE
State: relaxed

Cell lengths 10.973, 4.601, 12.216 Å; angles 68.48, 90.00, 90.00 degrees
Sites, in units of the cell vectors:
S 0.230 0.405 0.620
S 0.361 0.055 0.905
S 0.874 0.379 0.161
S 0.861 0.945 0.595
As 0.811 0.464 0.730
As 0.189 0.536 0.270
S 0.730 0.595 0.880
S 0.126 0.621 0.839
S 0.639 0.945 0.095
As 0.321 0.829 0.478
As 0.179 0.829 0.978
As 0.311 0.536 0.770
As 0.679 0.171 0.522
S 0.139 0.055 0.405
S 0.374 0.621 0.339
S 0.770 0.595 0.380
As 0.821 0.171 0.022
S 0.626 0.379 0.661
S 0.270 0.405 0.120
As 0.689 0.464 0.230

Summary:
Its symmetry is P2_1/c. The calculated volume is 573.8 Å³ per cell. The value obtained for the total magnetic moment is 0.00 μB/cell. The value obtained for the uncorrected formation energy is -132 meV per atom.

---

Entry 11:
Material: GdLuTlPb
Method: DFT, PBE
State: relaxed

Cell lengths 5.396, 5.396, 5.396 Å; angles 60.00, 60.00, 60.00 degrees
Each line ends with the local moment (μB).
Sites, in units of the cell vectors:
Pb 0.500 0.500 0.500  0.01
Lu 0.250 0.250 0.250  -0.09
Gd 0.750 0.750 0.750  -7.08
Tl 0.000 0.000 0.000  0.02

Summary:
Its symmetry is F-43m. The calculated volume is 111.1 Å³ per cell. For the formation energy from the elements, the calculation gives -0.339 eV/atom. The value obtained for the total magnetic moment is 7.37 μB/cell.

---

Entry 12:
Material: NdSmCo
Method: DFT, PBE
State: relaxed

Cell lengths 3.986, 3.986, 6.314 Å; angles 90.00, 90.00, 120.00 degrees
Sites, in units of the cell vectors:
Sm 0.000 0.000 0.103
Nd 0.333 0.667 0.566
Co 0.667 0.333 0.332

Summary:
Its symmetry is P3m1. The calculated volume is 86.9 Å³ per cell. For the formation energy from the elements, the calculation gives -0.004 eV/atom. The value obtained for the total magnetic moment is 0.00 μB/cell.

---

Entry 13:
Material: Ce2MgH12Rh3
Method: DFT, PBE
State: relaxed

Cell lengths 5.865, 5.865, 5.865 Å; angles 67.36, 67.36, 67.36 degrees
Each line ends with the local moment (μB).
Sites, in units of the cell vectors:
Mg 0.000 0.000 0.000  0.00
H 0.691 0.691 0.123  0.00
H 0.870 0.392 0.870  0.00
H 0.870 0.870 0.392  0.00
Ce 0.398 0.398 0.398  1.04
H 0.130 0.130 0.608  0.00
H 0.608 0.130 0.130  0.00
Ce 0.602 0.602 0.602  1.04
Rh 0.500 0.000 0.000  0.03
H 0.691 0.123 0.691  0.00
H 0.309 0.309 0.877  0.00
H 0.309 0.877 0.309  0.00
Rh 0.000 0.000 0.500  0.03
H 0.130 0.608 0.130  0.00
H 0.392 0.870 0.870  0.00
Rh 0.000 0.500 0.000  0.03
H 0.877 0.309 0.309  0.00
H 0.123 0.691 0.691  0.00

Summary:
Its symmetry is R-3m. The calculated volume is 165.1 Å³ per cell. Its final energy is -4.517 eV per atom. The value obtained for the total magnetic moment is 2.44 μB/cell.

---

Entry 14:
Material: LiEr2Th3Se6
Method: DFT, PBE
State: relaxed

Cell lengths 3.962, 8.537, 9.401 Å; angles 109.21, 102.16, 90.00 degrees
Sites, in units of the cell vectors:
Se 0.328 0.429 0.657
Er 0.835 0.670 0.671
Se 0.997 0.769 0.994
Se 0.343 0.910 0.687
Th 0.168 0.834 0.336
Se 0.657 0.090 0.313
Se 0.003 0.231 0.006
Th 0.832 0.166 0.664
Th 0.500 0.500 0.000
Se 0.672 0.571 0.343
Li 0.500 0.000 0.000
Er 0.165 0.330 0.329

Summary:
Its symmetry is C2/m. The calculated volume is 292.7 Å³ per cell. The value obtained for the total magnetic moment is 0.00 μB/cell. The value obtained for the uncorrected formation energy is -1592 meV per atom.

---

Entry 15:
Material: RbGaBr
Method: DFT, PBE
State: relaxed

Cell lengths 10.627, 7.655, 8.240 Å; angles 90.00, 90.00, 133.96 degrees
Sites, in units of the cell vectors:
Rb 0.096 0.692 0.750
Br 0.292 0.584 0.031
Br 0.708 0.416 0.969
Ga 0.927 0.854 0.118
Ga 0.573 0.146 0.618
Br 0.792 0.584 0.469
Br 0.208 0.416 0.531
Ga 0.427 0.854 0.382
Rb 0.404 0.308 0.250
Rb 0.596 0.692 0.750
Ga 0.073 0.146 0.882
Rb 0.904 0.308 0.250

Summary:
Its symmetry is Cmce. The calculated volume is 482.6 Å³ per cell. The value obtained for the total magnetic moment is 0.00 μB/cell. The value obtained for the uncorrected formation energy is -659 meV per atom.

---

Entry 16:
Material: AcTbP2
Method: DFT, PBE
State: relaxed

Cell lengths 5.135, 5.135, 5.135 Å; angles 60.00, 60.00, 60.00 degrees
Sites, in units of the cell vectors:
P 0.750 0.750 0.750
Ac 0.000 0.000 0.000
Tb 0.500 0.500 0.500
P 0.250 0.250 0.250

Summary:
Its symmetry is Fm-3m. The calculated volume is 95.7 Å³ per cell. For the formation energy from the elements, the calculation gives -1.050 eV/atom. The value obtained for the total magnetic moment is 0.00 μB/cell.

---

Entry 17:
Material: NaIn6Ga2
Method: DFT, PBE
State: relaxed

Cell lengths 4.619, 9.871, 9.871 Å; angles 90.00, 90.00, 90.00 degrees
Sites, in units of the cell vectors:
In 0.500 0.830 0.000
In 0.500 0.170 0.000
In 0.000 0.330 0.500
Ga 0.000 0.668 0.168
Ga 0.500 0.168 0.332
In 0.000 0.667 0.833
In 0.000 0.000 0.170
In 0.500 0.500 0.670
In 0.500 0.833 0.333
In 0.500 0.167 0.667
Na 0.000 0.000 0.500
Ga 0.000 0.332 0.832
Na 0.500 0.500 0.000
In 0.500 0.500 0.330
In 0.000 0.000 0.830
In 0.000 0.670 0.500
In 0.000 0.333 0.167
Ga 0.500 0.832 0.668

Summary:
Its symmetry is P4_2/mnm. The calculated volume is 450.0 Å³ per cell. For the formation energy from the elements, the calculation gives -0.009 eV/atom. The value obtained for the total magnetic moment is 0.00 μB/cell.

---

Entry 18:
Material: La8DyTl2
Method: DFT, PBE
State: relaxed

Cell lengths 6.056, 8.983, 8.983 Å; angles 119.02, 102.28, 102.28 degrees
Sites, in units of the cell vectors:
La 0.500 0.223 0.777
La 0.095 0.088 0.303
La 0.302 0.602 0.602
Tl 0.000 0.695 0.305
La 0.698 0.398 0.398
La 0.905 0.697 0.912
Dy 0.500 0.000 0.000
La 0.500 0.777 0.223
La 0.095 0.303 0.088
La 0.905 0.912 0.697
Tl 0.000 0.305 0.695

Summary:
Its symmetry is C2/m. The calculated volume is 388.0 Å³ per cell. For the formation energy from the elements, the calculation gives -0.066 eV/atom. The value obtained for the total magnetic moment is 0.00 μB/cell.

---

Entry 19:
Material: Na3CdHg4
Method: DFT, PBE
State: relaxed

Cell lengths 5.253, 7.315, 10.493 Å; angles 90.00, 90.00, 90.00 degrees
Sites, in units of the cell vectors:
Na 0.000 0.000 0.500
Na 0.000 0.000 0.000
Hg 0.973 0.746 0.250
Cd 0.000 0.500 0.000
Na 0.473 0.500 0.250
Hg 0.500 0.254 0.500
Na 0.527 0.500 0.750
Hg 0.027 0.254 0.750
Hg 0.973 0.254 0.250
Hg 0.500 0.746 0.000
Na 0.477 0.000 0.250
Cd 0.000 0.500 0.500
Hg 0.500 0.746 0.500
Na 0.523 0.000 0.750
Hg 0.027 0.746 0.750
Hg 0.500 0.254 0.000

Summary:
Its symmetry is Pmma. The calculated volume is 403.2 Å³ per cell. For the formation energy from the elements, the calculation gives -0.208 eV/atom. The value obtained for the total magnetic moment is 0.00 μB/cell.

---

Entry 20:
Material: LiBr2F8
Method: DFT, PBE
State: relaxed

Cell lengths 9.310, 6.769, 10.465 Å; angles 80.07, 63.59, 46.55 degrees
Each line ends with the local moment (μB).
Sites, in units of the cell vectors:
Li 0.963 0.750 0.250  0.00
F 0.437 0.425 0.398  0.05
Br 0.029 0.176 0.086  0.19
Br 0.709 0.676 0.586  0.19
F 0.947 0.055 0.260  0.03
F 0.112 0.265 0.896  0.03
F 0.786 0.297 0.066  0.10
F 0.053 0.945 0.740  0.03
F 0.851 0.797 0.566  0.10
F 0.214 0.703 0.934  0.10
F 0.739 0.555 0.760  0.03
F 0.740 0.925 0.898  0.05
F 0.726 0.765 0.396  0.03
F 0.149 0.203 0.434  0.10
F 0.563 0.575 0.602  0.05
Li 0.037 0.250 0.750  0.00
Br 0.291 0.324 0.414  0.19
F 0.260 0.075 0.102  0.05
Br 0.971 0.824 0.914  0.19
F 0.888 0.735 0.104  0.03
F 0.274 0.235 0.604  0.03
F 0.261 0.445 0.240  0.03

Summary:
Its symmetry is C2/c. The calculated volume is 419.6 Å³ per cell. The value obtained for the total magnetic moment is 1.83 μB/cell. The value obtained for the uncorrected formation energy is -1260 meV per atom.

---

Entry 21:
Material: TaTi4Bi
Method: DFT, PBE
State: relaxed

Cell lengths 5.541, 7.557, 7.482 Å; angles 126.45, 115.20, 81.32 degrees
Each line ends with the local moment (μB).
Sites, in units of the cell vectors:
Ti 0.657 0.206 0.106  0.19
Ti 0.343 0.794 0.894  0.19
Ti 0.311 0.055 0.634  0.02
Ti 0.020 0.623 0.365  0.08
Ti 0.689 0.945 0.366  0.02
Ti 0.017 0.162 0.878  -0.03
Ta 0.333 0.545 0.106  -0.01
Ti 0.980 0.377 0.635  0.08
Ti 0.983 0.838 0.122  -0.03
Ta 0.667 0.455 0.894  -0.01
Bi 0.308 0.252 0.360  -0.01
Bi 0.692 0.748 0.640  -0.01

Summary:
Its symmetry is P-1. The calculated volume is 225.8 Å³ per cell. For the formation energy from the elements, the calculation gives -0.010 eV/atom. The value obtained for the total magnetic moment is 0.61 μB/cell.

---

Entry 22:
Material: BaSr2W
Method: DFT, PBE
State: relaxed

Cell lengths 6.941, 6.941, 3.795 Å; angles 79.02, 79.02, 117.17 degrees
Each line ends with the local moment (μB).
Sites, in units of the cell vectors:
W 0.500 0.000 0.500  2.42
Ba 0.000 0.500 0.500  -0.03
Sr 0.000 0.000 0.000  -0.01
Sr 0.500 0.500 0.000  -0.01

Summary:
Its symmetry is C2/m. The calculated volume is 151.4 Å³ per cell. For the formation energy from the elements, the calculation gives 1.243 eV/atom. The value obtained for the total magnetic moment is 3.22 μB/cell.

---

Entry 23:
Material: Pm5HoSi4
Method: DFT, PBE
State: relaxed

Cell lengths 5.022, 6.909, 10.623 Å; angles 129.90, 103.67, 90.00 degrees
Sites, in units of the cell vectors:
Pm 0.164 0.831 0.328
Si 0.675 0.101 0.351
Pm 0.166 0.324 0.332
Pm 0.836 0.169 0.672
Si 0.008 0.257 0.017
Pm 0.500 0.500 0.000
Si 0.992 0.743 0.983
Ho 0.500 0.000 0.000
Si 0.325 0.899 0.649
Pm 0.834 0.676 0.668

Summary:
Its symmetry is C2/m. The calculated volume is 269.0 Å³ per cell. The value obtained for the total magnetic moment is 0.00 μB/cell. The value obtained for the uncorrected formation energy is -502 meV per atom.